[1]
Density functional theory data (PBE-GGA) for an optimized crystal structure of Ta2RuPt.

Lattice parameters (Å, degrees): 2.915 2.915 7.684 90.00 90.00 90.00
Fractional positions:
Ta 0.000 0.000 0.235
Ta 0.000 0.000 0.765
Ru 0.500 0.500 0.000
Pt 0.500 0.500 0.500

Crystal system: tetragonal
Calculated density in g/cm³: 16.73
Spin magnetization in μB per cell: 0.00
Energy of formation in meV/atom: -446.6

[2]
Density functional theory data (PBE-GGA) for an optimized crystal structure of Ta3Ru3Pt2.

Lattice parameters (Å, degrees): 3.902 3.985 8.088 90.00 90.00 90.00
Fractional positions:
Ta 0.000 0.000 0.000
Ta 0.000 0.500 0.273
Ta 0.000 0.500 0.727
Ru 0.000 0.000 0.500
Ru 0.500 0.500 0.000
Ru 0.500 0.500 0.500
Pt 0.500 0.000 0.254
Pt 0.500 0.000 0.746

Crystal system: orthorhombic
Calculated density in g/cm³: 16.32
Spin magnetization in μB per cell: 0.00
Energy of formation in meV/atom: -496.9

[3]
Density functional theory data (PBE-GGA) for an optimized crystal structure of TaRuPt2.

Lattice parameters (Å, degrees): 4.868 4.868 4.882 99.71 99.71 33.43
Fractional positions:
Ta 0.000 0.000 0.000
Ru 0.745 0.745 0.256
Pt 0.251 0.251 0.754
Pt 0.494 0.494 0.493

Crystal system: monoclinic
Calculated density in g/cm³: 17.79
Excess energy over the best structure of this formula in the dataset in meV/atom: 262
Spin magnetization in μB per cell: 0.00
Energy of formation in meV/atom: -347.1

[4]
Density functional theory data (PBE-GGA) for an optimized crystal structure of TaRu2Pt.

Lattice parameters (Å, degrees): 3.951 3.951 3.866 90.00 90.00 90.00
Fractional positions:
Ta 0.000 0.000 0.000
Ru 0.000 0.500 0.500
Ru 0.500 0.000 0.500
Pt 0.500 0.500 0.000

Crystal system: tetragonal
Calculated density in g/cm³: 15.91
Excess energy over the best structure of this formula in the dataset in meV/atom: 0
Spin magnetization in μB per cell: 0.00
Energy of formation in meV/atom: -470.0

[5]
Density functional theory data (PBE-GGA) for an optimized crystal structure of Ta2Ru2Pt.

Lattice parameters (Å, degrees): 7.331 7.331 3.050 90.00 90.00 90.00
Fractional positions:
Ta 0.164 0.336 0.000
Ta 0.336 0.836 0.000
Ta 0.664 0.164 0.000
Ta 0.836 0.664 0.000
Ru 0.135 0.635 0.500
Ru 0.365 0.135 0.500
Ru 0.635 0.865 0.500
Ru 0.865 0.365 0.500
Pt 0.000 0.000 0.500
Pt 0.500 0.500 0.500

Crystal system: tetragonal
Calculated density in g/cm³: 15.38
Spin magnetization in μB per cell: 0.00
Energy of formation in meV/atom: -272.7

[6]
Density functional theory data (PBE-GGA) for an optimized crystal structure of TaRuPt4.

Lattice parameters (Å, degrees): 5.186 5.186 5.186 60.00 60.00 60.00
Fractional positions:
Ta 0.000 0.000 0.000
Ru 0.250 0.250 0.250
Pt 0.126 0.625 0.625
Pt 0.625 0.126 0.625
Pt 0.625 0.625 0.126
Pt 0.625 0.625 0.625

Crystal system: cubic
Calculated density in g/cm³: 17.89
Excess energy over the best structure of this formula in the dataset in meV/atom: 356
Spin magnetization in μB per cell: 1.17
Energy of formation in meV/atom: -14.9

[7]
Density functional theory data (PBE-GGA) for an optimized crystal structure of TaRu2Pt.

Lattice parameters (Å, degrees): 4.440 4.440 4.440 60.00 60.00 60.00
Fractional positions:
Ta 0.000 0.000 0.000
Ru 0.250 0.250 0.250
Ru 0.750 0.750 0.750
Pt 0.500 0.500 0.500

Crystal system: cubic
Calculated density in g/cm³: 15.51
Excess energy over the best structure of this formula in the dataset in meV/atom: 389
Spin magnetization in μB per cell: 0.00
Energy of formation in meV/atom: -81.3

[8]
Density functional theory data (PBE-GGA) for an optimized crystal structure of Ta6Ru5Pt.

Lattice parameters (Å, degrees): 7.624 7.624 7.624 147.83 123.83 66.22
Fractional positions:
Ta 0.076 0.332 0.744
Ta 0.236 0.000 0.236
Ta 0.412 0.668 0.744
Ta 0.588 0.332 0.256
Ta 0.764 0.000 0.764
Ta 0.924 0.668 0.256
Ru 0.000 0.500 0.500
Ru 0.174 0.174 0.000
Ru 0.343 0.843 0.500
Ru 0.657 0.157 0.500
Ru 0.826 0.826 0.000
Pt 0.500 0.500 0.000

Crystal system: orthorhombic
Calculated density in g/cm³: 15.31
Spin magnetization in μB per cell: 0.00
Energy of formation in meV/atom: -353.2

[9]
Density functional theory data (PBE-GGA) for an optimized crystal structure of Ta2RuPt6.

Lattice parameters (Å, degrees): 6.366 6.366 6.321 107.80 107.80 35.89
Fractional positions:
Ta 0.058 0.058 0.318
Ta 0.942 0.942 0.682
Ru 0.500 0.500 0.000
Pt 0.164 0.164 0.006
Pt 0.283 0.283 0.663
Pt 0.397 0.397 0.334
Pt 0.603 0.603 0.666
Pt 0.717 0.717 0.337
Pt 0.836 0.836 0.994

Crystal system: monoclinic
Calculated density in g/cm³: 19.08
Spin magnetization in μB per cell: 0.00
Energy of formation in meV/atom: -585.9

[10]
Density functional theory data (PBE-GGA) for an optimized crystal structure of Ta2RuPt.

Lattice parameters (Å, degrees): 9.310 9.310 9.310 17.98 17.98 17.98
Fractional positions:
Ta 0.000 0.000 0.000
Ta 0.243 0.243 0.243
Ru 0.742 0.742 0.742
Pt 0.496 0.496 0.496

Crystal system: trigonal
Calculated density in g/cm³: 16.28
Spin magnetization in μB per cell: 0.00
Energy of formation in meV/atom: -69.3

[11]
Density functional theory data (PBE-GGA) for an optimized crystal structure of TaRuPt2.

Lattice parameters (Å, degrees): 9.372 9.372 9.372 17.20 17.20 17.20
Fractional positions:
Ta 0.000 0.000 0.000
Ru 0.500 0.500 0.500
Pt 0.249 0.249 0.249
Pt 0.751 0.751 0.751

Crystal system: trigonal
Calculated density in g/cm³: 17.77
Excess energy over the best structure of this formula in the dataset in meV/atom: 464
Spin magnetization in μB per cell: 0.00
Energy of formation in meV/atom: -145.2

[12]
Density functional theory data (PBE-GGA) for an optimized crystal structure of TaTcRu2Pt.

Lattice parameters (Å, degrees): 4.734 4.734 4.772 90.00 90.00 90.00
Fractional positions:
Ta 0.000 0.000 0.000
Tc 0.500 0.500 0.000
Ru 0.000 0.500 0.500
Ru 0.500 0.000 0.500
Pt 0.000 0.000 0.500

Crystal system: tetragonal
Calculated density in g/cm³: 10.50
Spin magnetization in μB per cell: 4.87
Energy of formation in meV/atom: 1955.9

[13]
Density functional theory data (PBE-GGA) for an optimized crystal structure of TaZn2RuPt.

Lattice parameters (Å, degrees): 4.891 4.891 4.556 90.00 90.00 90.00
Fractional positions:
Ta 0.000 0.000 0.000
Zn 0.000 0.500 0.000
Zn 0.500 0.000 0.000
Ru 0.000 0.000 0.500
Pt 0.500 0.500 0.500

Crystal system: tetragonal
Calculated density in g/cm³: 9.26
Spin magnetization in μB per cell: 0.00
Energy of formation in meV/atom: 1420.0

[14]
Density functional theory data (PBE-GGA) for an optimized crystal structure of Tb8RuPt5.

Lattice parameters (Å, degrees): 7.563 7.563 7.563 109.61 109.61 109.19
Fractional positions:
Tb 0.244 0.493 0.620
Tb 0.376 0.756 0.249
Tb 0.383 0.249 0.251
Tb 0.507 0.126 0.751
Tb 0.751 0.002 0.134
Tb 0.869 0.617 0.866
Tb 0.874 0.624 0.380
Tb 0.998 0.131 0.749
Ru 0.750 0.250 0.500
Pt 0.000 0.377 0.129
Pt 0.129 0.000 0.377
Pt 0.248 0.871 0.871
Pt 0.500 0.500 0.000
Pt 0.623 0.752 0.623

Crystal system: tetragonal
Calculated density in g/cm³: 11.71
Spin magnetization in μB per cell: 0.00
Energy of formation in meV/atom: -972.1

[15]
Density functional theory data (PBE-GGA) for an optimized crystal structure of Tb8Ru5Pt.

Lattice parameters (Å, degrees): 7.437 7.437 7.437 109.36 109.36 109.69
Fractional positions:
Tb 0.112 0.362 0.109
Tb 0.130 0.382 0.624
Tb 0.253 0.003 0.891
Tb 0.493 0.870 0.252
Tb 0.618 0.241 0.748
Tb 0.638 0.747 0.750
Tb 0.759 0.507 0.376
Tb 0.997 0.888 0.250
Ru 0.380 0.259 0.374
Ru 0.500 0.500 0.000
Ru 0.741 0.115 0.121
Ru 0.885 0.006 0.626
Ru 0.994 0.620 0.879
Pt 0.250 0.750 0.500

Crystal system: tetragonal
Calculated density in g/cm³: 10.34
Spin magnetization in μB per cell: 0.00
Energy of formation in meV/atom: -334.8

[16]
Density functional theory data (PBE-GGA) for an optimized crystal structure of Tb4RuPt3.

Lattice parameters (Å, degrees): 3.465 3.465 14.069 90.00 90.00 90.00
Fractional positions:
Tb 0.000 0.000 0.120
Tb 0.000 0.000 0.373
Tb 0.000 0.000 0.627
Tb 0.000 0.000 0.880
Ru 0.500 0.500 0.000
Pt 0.500 0.500 0.248
Pt 0.500 0.500 0.500
Pt 0.500 0.500 0.752

Crystal system: tetragonal
Calculated density in g/cm³: 12.99
Spin magnetization in μB per cell: 0.00
Energy of formation in meV/atom: -1011.4

[17]
Density functional theory data (PBE-GGA) for an optimized crystal structure of Tb2RuPt.

Lattice parameters (Å, degrees): 3.481 3.481 6.839 90.00 90.00 90.00
Fractional positions:
Tb 0.000 0.000 0.245
Tb 0.000 0.000 0.755
Ru 0.500 0.500 0.000
Pt 0.500 0.500 0.500

Crystal system: tetragonal
Calculated density in g/cm³: 12.31
Spin magnetization in μB per cell: 0.00
Energy of formation in meV/atom: -802.2

[18]
Density functional theory data (PBE-GGA) for an optimized crystal structure of Tb4RuPt2.

Lattice parameters (Å, degrees): 6.031 6.031 4.823 90.00 90.00 109.53
Fractional positions:
Tb 0.000 0.500 0.500
Tb 0.248 0.248 0.000
Tb 0.500 0.000 0.500
Tb 0.752 0.752 0.000
Ru 0.000 0.000 0.500
Pt 0.250 0.750 0.000
Pt 0.750 0.250 0.000

Crystal system: orthorhombic
Calculated density in g/cm³: 11.32
Spin magnetization in μB per cell: 0.00
Energy of formation in meV/atom: -827.1

[19]
Density functional theory data (PBE-GGA) for an optimized crystal structure of Tb4RuPt.

Lattice parameters (Å, degrees): 6.921 6.888 6.888 90.00 91.62 90.00
Fractional positions:
Tb 0.161 0.166 0.174
Tb 0.161 0.334 0.674
Tb 0.328 0.664 0.157
Tb 0.328 0.836 0.657
Tb 0.672 0.164 0.343
Tb 0.672 0.336 0.843
Tb 0.839 0.666 0.326
Tb 0.839 0.834 0.826
Ru 0.000 0.000 0.500
Ru 0.000 0.500 0.000
Pt 0.500 0.000 0.000
Pt 0.500 0.500 0.500

Crystal system: monoclinic
Calculated density in g/cm³: 9.43
Excess energy over the best structure of this formula in the dataset in meV/atom: 61
Spin magnetization in μB per cell: 0.00
Energy of formation in meV/atom: -565.1

[20]
Density functional theory data (PBE-GGA) for an optimized crystal structure of Tb5Ru2Pt.

Lattice parameters (Å, degrees): 8.618 8.618 8.618 128.48 128.48 75.84
Fractional positions:
Tb 0.000 0.000 0.000
Tb 0.030 0.530 0.839
Tb 0.191 0.030 0.500
Tb 0.309 0.809 0.839
Tb 0.470 0.309 0.500
Tb 0.500 0.500 0.000
Tb 0.530 0.691 0.500
Tb 0.691 0.191 0.161
Tb 0.809 0.970 0.500
Tb 0.970 0.470 0.161
Ru 0.132 0.368 0.500
Ru 0.368 0.868 0.235
Ru 0.632 0.132 0.765
Ru 0.868 0.632 0.500
Pt 0.250 0.250 0.000
Pt 0.750 0.750 0.000

Crystal system: tetragonal
Calculated density in g/cm³: 10.38
Spin magnetization in μB per cell: 0.00
Energy of formation in meV/atom: -567.4

[21]
Density functional theory data (PBE-GGA) for an optimized crystal structure of Tb3RuPt.

Lattice parameters (Å, degrees): 5.607 5.906 7.772 81.15 77.41 75.29
Fractional positions:
Tb 0.064 0.202 0.105
Tb 0.214 0.199 0.537
Tb 0.432 0.633 0.190
Tb 0.568 0.367 0.810
Tb 0.786 0.801 0.463
Tb 0.936 0.798 0.895
Ru 0.424 0.897 0.845
Ru 0.576 0.103 0.155
Pt 0.272 0.687 0.565
Pt 0.728 0.313 0.435

Crystal system: triclinic
Calculated density in g/cm³: 10.62
Spin magnetization in μB per cell: 0.00
Energy of formation in meV/atom: -678.2

[22]
Density functional theory data (PBE-GGA) for an optimized crystal structure of Tb8Ru2Pt.

Lattice parameters (Å, degrees): 9.101 9.101 6.869 106.08 106.08 31.26
Fractional positions:
Tb 0.033 0.033 0.285
Tb 0.205 0.205 0.817
Tb 0.330 0.330 0.532
Tb 0.404 0.404 0.043
Tb 0.596 0.596 0.957
Tb 0.670 0.670 0.468
Tb 0.795 0.795 0.183
Tb 0.967 0.967 0.715
Ru 0.187 0.187 0.206
Ru 0.813 0.813 0.794
Pt 0.500 0.500 0.500

Crystal system: monoclinic
Calculated density in g/cm³: 9.80
Spin magnetization in μB per cell: 0.00
Energy of formation in meV/atom: -399.6

[23]
Density functional theory data (PBE-GGA) for an optimized crystal structure of Tb3RuPt.

Lattice parameters (Å, degrees): 8.609 7.315 8.128 90.00 107.66 90.00
Fractional positions:
Tb 0.044 0.005 0.214
Tb 0.044 0.495 0.714
Tb 0.278 0.653 0.102
Tb 0.278 0.847 0.602
Tb 0.357 0.190 0.988
Tb 0.357 0.310 0.488
Tb 0.643 0.690 0.512
Tb 0.643 0.810 0.012
Tb 0.722 0.153 0.398
Tb 0.722 0.347 0.898
Tb 0.956 0.505 0.286
Tb 0.956 0.995 0.786
Ru 0.072 0.183 0.533
Ru 0.072 0.317 0.033
Ru 0.928 0.683 0.967
Ru 0.928 0.817 0.467
Pt 0.408 0.536 0.806
Pt 0.408 0.964 0.306
Pt 0.592 0.036 0.694
Pt 0.592 0.464 0.194

Crystal system: monoclinic
Calculated density in g/cm³: 10.53
Spin magnetization in μB per cell: 0.00
Energy of formation in meV/atom: -678.5

[24]
Density functional theory data (PBE-GGA) for an optimized crystal structure of Tb4RuPt.

Lattice parameters (Å, degrees): 7.942 7.942 6.351 108.43 108.43 111.11
Fractional positions:
Tb 0.049 0.696 0.902
Tb 0.235 0.363 0.726
Tb 0.304 0.951 0.598
Tb 0.363 0.235 0.226
Tb 0.637 0.765 0.774
Tb 0.696 0.049 0.402
Tb 0.765 0.637 0.274
Tb 0.951 0.304 0.098
Ru 0.003 0.997 0.250
Ru 0.997 0.003 0.750
Pt 0.363 0.637 0.250
Pt 0.637 0.363 0.750

Crystal system: monoclinic
Calculated density in g/cm³: 9.99
Excess energy over the best structure of this formula in the dataset in meV/atom: 0
Spin magnetization in μB per cell: 0.00
Energy of formation in meV/atom: -626.1